No. 1
MgCdHg2 | PBE | relaxed

a b c (Å): 5.315 5.315 5.083
angles (deg): 100.97 100.97 40.78
Fractional coordinates of all 4 atoms:
Mg 0.000 0.000 0.000
Cd 0.751 0.751 0.287
Hg 0.259 0.259 0.808
Hg 0.499 0.499 0.501

Summary:
Total magnetization (Bohr magnetons per cell): 0.00
Crystal system: monoclinic
DFT formation energy (eV/atom): -0.085

=====

No. 2
Pm2HfMg | PBE | relaxed

a b c (Å): 5.634 5.634 3.514
angles (deg): 90.00 90.00 90.00
Fractional coordinates of all 4 atoms:
Pm 0.000 0.500 0.000
Pm 0.500 0.000 0.000
Hf 0.000 0.000 0.500
Mg 0.500 0.500 0.500

Summary:
Total magnetization (Bohr magnetons per cell): 0.00
Energy above the most stable polymorph in this dataset (meV/atom): 91
Crystal system: tetragonal
DFT formation energy (eV/atom): 0.144

=====

No. 3
TbTaC2 | PBE | relaxed

a b c (Å): 5.763 3.519 11.105
angles (deg): 90.00 90.00 90.00
Fractional coordinates of all 16 atoms:
Tb 0.085 0.250 0.140
Tb 0.415 0.750 0.640
Tb 0.585 0.250 0.360
Tb 0.915 0.750 0.860
Ta 0.093 0.750 0.393
Ta 0.407 0.250 0.893
Ta 0.593 0.750 0.107
Ta 0.907 0.250 0.607
C 0.151 0.250 0.752
C 0.220 0.250 0.483
C 0.280 0.750 0.983
C 0.349 0.750 0.252
C 0.651 0.250 0.748
C 0.720 0.250 0.017
C 0.780 0.750 0.517
C 0.849 0.750 0.248

Summary:
Total magnetization (Bohr magnetons per cell): 0.00
Energy above the most stable polymorph in this dataset (meV/atom): 19
Crystal system: orthorhombic
DFT formation energy (eV/atom): -0.445

=====

No. 4
Nd4FeI2Cl | PBE | relaxed

a b c (Å): 7.602 4.058 8.240
angles (deg): 90.00 106.38 90.00
Fractional coordinates of all 8 atoms:
Nd 0.195 0.000 0.185
Nd 0.238 0.500 0.808
Nd 0.762 0.500 0.192
Nd 0.805 0.000 0.815
Fe 0.000 0.500 0.000
I 0.000 0.000 0.500
I 0.500 0.500 0.500
Cl 0.500 0.000 0.000

Summary:
Total magnetization (Bohr magnetons per cell): 0.00
Crystal system: monoclinic
Calculated total energy (eV per atom): -4.85

=====

No. 5
NaSeN2 | PBE | relaxed

a b c (Å): 5.720 5.720 5.720
angles (deg): 124.21 124.21 82.86
Fractional coordinates of all 8 atoms:
Na 0.000 0.000 0.000
Na 0.750 0.250 0.500
Se 0.250 0.750 0.500
Se 0.500 0.500 0.000
N 0.212 0.625 0.087
N 0.375 0.462 0.587
N 0.538 0.125 0.913
N 0.875 0.788 0.413

Summary:
Total magnetization (Bohr magnetons per cell): 0.00
Crystal system: tetragonal
Calculated total energy (eV per atom): -4.59

=====

No. 6
Pm3TlPd2 | PBE | relaxed

a b c (Å): 3.648 3.648 11.412
angles (deg): 90.00 90.00 90.00
Fractional coordinates of all 6 atoms:
Pm 0.000 0.000 0.000
Pm 0.000 0.000 0.310
Pm 0.000 0.000 0.690
Tl 0.500 0.500 0.500
Pd 0.500 0.500 0.156
Pd 0.500 0.500 0.844

Summary:
Total magnetization (Bohr magnetons per cell): 0.00
Crystal system: tetragonal
DFT formation energy (eV/atom): -0.630